# 1
First-principles (PBE) data for a relaxed NdYSb crystal, as listed in Alexandria via LeMat-Bulk.

Output
- crystal system = tetragonal
- D(E_F) (states/eV/f.u.) = 2.68
- formation energy from raw total energies (eV per atom) = -0.8536
- total magnetic moment (μB/cell) = 0.00
- VASP energy (eV for the cell shown) = -35.83

a b c (Å): 4.560 4.560 8.693
angles (deg): 90.02 89.98 90.00
Fractional positions:
Nd: 0.750 0.250 0.648
Nd: 0.250 0.750 0.352
Y: 0.750 0.750 0.000
Y: 0.250 0.250 0.000
Sb: 0.250 0.750 0.729
Sb: 0.750 0.250 0.271

# 2
First-principles (PBE) data for a relaxed SrNbPS2 crystal, as listed in Alexandria via LeMat-Bulk.

Output
- crystal system = tetragonal
- D(E_F) (states/eV/f.u.) = 10.39
- formation energy from raw total energies (eV per atom) = 1.2314
- total magnetic moment (μB/cell) = 0.08
- VASP energy (eV for the cell shown) = -19.26

a b c (Å): 5.228 5.228 5.208
angles (deg): 90.00 90.00 90.00
Fractional positions:
Sr: 0.000 0.000 0.000
Nb: 0.500 0.500 0.500
S: 0.000 0.500 0.000
S: 0.500 0.000 0.000
P: 0.000 0.000 0.500

# 3
First-principles (PBE) data for a relaxed Ac2AuI2 crystal, as listed in Alexandria via LeMat-Bulk.

Output
- crystal system = trigonal
- D(E_F) (states/eV/f.u.) = 3.65
- formation energy from raw total energies (eV per atom) = -1.1544
- total magnetic moment (μB/cell) = 0.00
- VASP energy (eV for the cell shown) = -20.37

a b c (Å): 4.550 4.550 12.477
angles (deg): 79.49 79.49 60.00
Fractional positions:
Ac: 0.617 0.617 0.149
Ac: 0.383 0.383 0.851
Au: 0.000 0.000 0.000
I: 0.222 0.222 0.333
I: 0.778 0.778 0.667

# 4
First-principles (PBE) data for a relaxed ThPaPd crystal, as listed in Alexandria via LeMat-Bulk.

Output
- crystal system = trigonal
- DFT formation energy (meV/atom) = -113
- D(E_F) (states/eV/f.u.) = 4.78
- total magnetic moment (μB/cell) = 0.00
- VASP energy (eV for the cell shown) = -22.45

a b c (Å): 3.482 4.910 4.910
angles (deg): 120.00 90.00 90.00
Fractional positions:
Pa: 0.051 0.000 0.000
Pd: 0.270 0.333 0.667
Th: 0.679 0.667 0.333

# 5
First-principles (PBE) data for a relaxed ScRuBr2 crystal, as listed in Alexandria via LeMat-Bulk.

Output
- crystal system = monoclinic
- D(E_F) (states/eV/f.u.) = 0.22
- formation energy from raw total energies (eV per atom) = -0.4522
- total magnetic moment (μB/cell) = 1.02
- VASP energy (eV for the cell shown) = -20.76

a b c (Å): 4.739 4.739 7.221
angles (deg): 89.27 89.27 44.64
Fractional positions:
Br: 0.042 0.042 0.889
Br: 0.307 0.307 0.347
Ru: 0.440 0.440 0.656
Sc: 0.711 0.711 0.607

# 6
First-principles (PBE) data for a relaxed Y2NbGe3Pt4 crystal, as listed in Alexandria via LeMat-Bulk.

Output
- crystal system = tetragonal
- DFT formation energy (meV/atom) = -860
- D(E_F) (states/eV/f.u.) = 6.39
- total magnetic moment (μB/cell) = 0.00
- VASP energy (eV for the cell shown) = -69.62

a b c (Å): 4.183 4.183 10.920
angles (deg): 90.00 90.00 90.00
Fractional positions:
Y: 0.500 0.000 0.233
Y: 0.000 0.500 0.767
Nb: 0.500 0.500 0.500
Ge: 0.000 0.000 0.500
Ge: 0.500 0.000 0.863
Ge: 0.000 0.500 0.137
Pt: 0.500 0.500 0.000
Pt: 0.000 0.000 0.000
Pt: 0.500 0.000 0.641
Pt: 0.000 0.500 0.359

# 7
First-principles (PBE) data for a relaxed La5GeBi4 crystal, as listed in Alexandria via LeMat-Bulk.

Output
- crystal system = tetragonal
- DFT formation energy (meV/atom) = -956
- D(E_F) (states/eV/f.u.) = 5.87
- total magnetic moment (μB/cell) = 0.00
- VASP energy (eV for the cell shown) = -54.34

a b c (Å): 6.589 8.053 8.053
angles (deg): 80.37 65.85 65.85
Fractional positions:
La: 0.903 0.385 0.810
La: 0.289 0.810 0.615
La: 0.713 0.190 0.385
La: 0.098 0.615 0.190
La: 0.501 0.000 0.000
Ge: 0.001 0.000 0.000
Bi: 0.406 0.397 0.792
Bi: 0.803 0.792 0.603
Bi: 0.198 0.208 0.397
Bi: 0.596 0.603 0.208

# 8
First-principles (PBE) data for a relaxed CaAlTl2Sb2 crystal, as listed in Alexandria via LeMat-Bulk.

Output
- crystal system = orthorhombic
- D(E_F) (states/eV/f.u.) = 2.11
- formation energy from raw total energies (eV per atom) = -0.3067
- total magnetic moment (μB/cell) = 0.00
- VASP energy (eV for the cell shown) = -41.12

a b c (Å): 4.465 7.637 10.528
angles (deg): 90.00 90.00 90.00
Fractional positions:
Ca: 0.000 0.009 0.422
Ca: 0.000 0.509 0.578
Al: 0.500 0.166 0.658
Al: 0.500 0.666 0.342
Tl: 0.500 0.019 0.040
Tl: 0.000 0.307 0.163
Tl: 0.500 0.519 0.960
Tl: 0.000 0.807 0.837
Sb: 0.000 0.234 0.807
Sb: 0.500 0.310 0.412
Sb: 0.000 0.734 0.193
Sb: 0.500 0.810 0.588

# 9
First-principles (PBE) data for a relaxed PmDy3Te4 crystal, as listed in Alexandria via LeMat-Bulk.

Output
- crystal system = orthorhombic
- D(E_F) (states/eV/f.u.) = 4.93
- formation energy from raw total energies (eV per atom) = -1.3090
- total magnetic moment (μB/cell) = 0.00
- VASP energy (eV for the cell shown) = -41.60

a b c (Å): 4.318 7.627 7.627
angles (deg): 108.71 90.00 90.00
Fractional positions:
Pm: 0.500 0.000 0.000
Dy: 0.000 0.000 0.500
Dy: 0.500 0.500 0.500
Dy: 0.000 0.500 0.000
Te: 0.000 0.256 0.256
Te: 0.500 0.747 0.253
Te: 0.000 0.744 0.744
Te: 0.500 0.253 0.747

# 10
First-principles (PBE) data for a relaxed TbDyHg crystal, as listed in Alexandria via LeMat-Bulk.

Output
- crystal system = tetragonal
- DFT formation energy (meV/atom) = -302
- D(E_F) (states/eV/f.u.) = 3.51
- total magnetic moment (μB/cell) = 0.91
- VASP energy (eV for the cell shown) = -10.44

a b c (Å): 3.623 3.623 6.915
angles (deg): 105.18 105.18 90.00
Fractional positions:
Tb: 0.012 0.012 0.024
Hg: 0.668 0.668 0.335
Dy: 0.320 0.320 0.641